Record 1
Density functional theory data (PBE) for a relaxed BaTcPO2 crystal.

Calculated values
Spin magnetization   0.418 μB/f.u.
Formation energy from raw total energies   -24.6 kcal/mol of atoms
Fermi-level density of states   3.72 states/eV per cell

Cell: 4.1950 4.1950 4.6584 Å, 90.00 90.00 90.00°
Each line ends with the local moment (μB).
Fractional positions:
Tc (0.0000, 0.0000, 0.0000)  0.30
O (0.0000, 0.5000, 0.0000)  0.05
O (0.5000, 0.0000, 0.0000)  0.05
Ba (0.5000, 0.5000, 0.5000)  0.00
P (0.0000, 0.0000, 0.5000)  -0.01

***

Record 2
Density functional theory data (PBE) for a relaxed CrHgTeN2 crystal.

Calculated values
Spin magnetization   7.491 μB/f.u.
Formation energy from raw total energies   44.3 kcal/mol of atoms
Fermi-level density of states   4.95 states/eV per cell

Cell: 4.2010 4.2010 6.7130 Å, 90.00 90.00 90.00°
Each line ends with the local moment (μB).
Fractional positions:
N (0.5000, 0.0000, 0.0000)  1.07
Te (0.0000, 0.0000, 0.5000)  -0.08
Cr (0.5000, 0.5000, 0.5000)  3.92
Hg (0.0000, 0.0000, 0.0000)  0.11
N (0.0000, 0.5000, 0.0000)  1.07

***

Record 3
Density functional theory data (PBE) for a relaxed La5YMg crystal.

Calculated values
Spin magnetization   0.000 μB/f.u.
Fermi-level density of states   18.80 states/eV per cell
Formation energy from the elements   0.089 eV per atom

Cell: 9.9201 6.6678 11.9025 Å, 76.05 90.00 138.06°
Fractional positions:
La (0.0337, 0.4176, 0.1627)
La (0.3840, 0.4176, 0.6627)
Y (0.4892, 0.0000, 0.7500)
Mg (0.0000, 0.0000, 0.5000)
La (0.7749, 0.2342, 0.4734)
La (0.5407, 0.7658, 0.0266)
Y (0.5108, 0.0000, 0.2500)
La (0.8491, 0.0000, 0.7500)
La (0.1509, 0.0000, 0.2500)
La (0.6160, 0.5824, 0.3373)
La (0.2251, 0.7658, 0.5266)
Mg (0.0000, 0.0000, 0.0000)
La (0.4593, 0.2342, 0.9734)
La (0.9663, 0.5824, 0.8373)